Entry 1:
The following is a DFT calculation (PBE) of a relaxed structure of MgAl2Co.

Structure (extended XYZ):
```
4
Lattice="2.9624 0.0000 0.0000 0.0000 4.1446 0.0000 -1.4517 0.0000 4.9837" Properties=species:S:1:pos:R:3 pbc="T T T"
Mg 0.0000 0.0000 0.0000
Al 0.0256 0.0000 2.7083
Al 1.5060 2.0723 1.6420
Co 0.0346 2.0723 3.8590
```

Properties
- SG: No. 6
- Formation energy from the elements: -0.07 eV/atom


Entry 2:
The following is a DFT calculation (PBE) of a relaxed structure of LiAlReN2.

Structure (extended XYZ):
```
5
Lattice="3.6490 0.0000 0.0000 0.0000 3.6490 0.0000 0.0000 0.0000 4.0589" Properties=species:S:1:pos:R:3 pbc="T T T"
Li 0.0000 0.0000 0.0000
Al 0.0000 0.0000 2.0294
Re 1.8245 1.8245 2.0294
N 0.0000 1.8245 0.0000
N 1.8245 0.0000 0.0000
```

Properties
- SG: No. 123
- Formation energy (no corrections): 1762 meV/atom


Number 1: VASP energy -4.117 eV per atom, V 61.2 Å³/f.u.. Number 2: VASP energy -5.189 eV per atom, V 54.0 Å³/f.u..